Entry from Alexandria: crystalline NaSm2Dy3Se6 at its relaxed geometry (PBE).

Geometry as POSCAR:
```
NaSm2Dy3Se6
1.0
-1.917 -3.596 0.499
4.575 -1.499 6.769
-6.278 6.105 2.993
Na Sm Dy Se
1 2 3 6
direct
0.500 0.000 0.000 Na
0.830 0.657 0.659 Sm
0.170 0.343 0.341 Sm
0.500 0.500 0.000 Dy
0.834 0.173 0.668 Dy
0.166 0.827 0.332 Dy
0.332 0.922 0.664 Se
0.663 0.589 0.325 Se
0.668 0.078 0.336 Se
0.000 0.254 0.999 Se
0.000 0.746 0.001 Se
0.337 0.411 0.675 Se
```

Results
Crystal system   monoclinic
Symmetry   No. 12
Formation energy (no corrections)   -1767 meV per atom